V6Cr5Mo: optimized geometry, PBE-GGA.

```
V6Cr5Mo
1.0
2.080 -6.240 0.000
2.080 6.240 0.000
0.000 0.000 5.901
V Cr Mo
6 5 1
Direct
0.000 0.000 0.244
0.000 0.000 0.756
0.331 0.669 0.247
0.331 0.669 0.753
0.669 0.331 0.247
0.669 0.331 0.753
0.167 0.833 0.000
0.170 0.830 0.500
0.500 0.500 0.000
0.830 0.170 0.500
0.833 0.167 0.000
0.500 0.500 0.500
```

Output
As for the crystal system: orthorhombic. The value obtained for the formation energy is -80 meV per atom. Its space group is No. 65. As for the theoretical density: 7.2 g/cm³. The total magnetization comes out at 0.00 μB/atom. Its raw total energy is -9.552 eV/atom.

SrTa2Zn: optimized geometry, PBE-GGA.

```
SrTa2Zn
1.0
6.151 -1.498 0.000
6.151 1.498 0.000
-2.057 0.000 4.622
Sr Ta Zn
1 2 1
Direct
0.000 0.000 0.000
0.218 0.218 0.718
0.782 0.782 0.282
0.500 0.500 0.500
```

Output
As for the crystal system: monoclinic. The value obtained for the formation energy is 504 meV per atom. Its space group is No. 12. As for the theoretical density: 10.0 g/cm³. The total magnetization comes out at 0.00 μB/atom. Its raw total energy is -6.162 eV/atom.